This record from Alexandria describes a crystal of CrRhN2 relaxed with PBEsol. The functional is SCAN.

a b c (Å): 6.3028 6.3028 6.3028
angles (deg): 26.12 26.12 26.12
Element x y z (fractional)
Cr1 0.0000 0.0000 0.0000
Rh1 0.5000 0.5000 0.5000
N1 0.0989 0.0989 0.0989
N2 0.9011 0.9011 0.9011

Results
Its raw total energy is -17.19 eV/atom. As for the magnetic moment: 1.51 μB/f.u. The calculation puts the offset from the most stable computed form at 0 meV per atom. The formation energy from raw total energies is 48.0 kJ per mole of atoms. Its space group is R-3m.

=====

This record from Alexandria describes a crystal of TaCo4Au relaxed with PBEsol. The functional is SCAN.

a b c (Å): 4.6871 4.6871 4.6871
angles (deg): 60.00 60.00 60.00
Element x y z (fractional)
Ta1 0.0000 0.0000 0.0000
Co1 0.1254 0.6249 0.6249
Co2 0.6249 0.1254 0.6249
Co3 0.6249 0.6249 0.1254
Co4 0.6249 0.6249 0.6249
Au1 0.2500 0.2500 0.2500

Results
Its raw total energy is -34.21 eV/atom. As for the magnetic moment: 5.77 μB/f.u. Its space group is F-43m. Its formation energy is -46 meV/atom.

=====

This record from Alexandria describes a crystal of BIF2 relaxed with PBEsol. The functional is SCAN.

a b c (Å): 9.7717 9.7717 9.7717
angles (deg): 19.03 19.03 19.03
Element x y z (fractional)
B1 0.0000 0.0000 0.0000
I1 0.5000 0.5000 0.5000
F1 0.0454 0.0454 0.0454
F2 0.9546 0.9546 0.9546

Results
Its raw total energy is -13.70 eV/atom. As for the magnetic moment: 0.03 μB/f.u. The formation energy from raw total energies is -85.3 kJ per mole of atoms. Its space group is R-3m.